# 1
Density functional theory data (PBE) for an optimized crystal structure of ZrTe2IrBr.

Cell lengths 5.6232, 5.6232, 5.0665 Å; angles 90.00, 90.00, 90.00 degrees
Last column: nearest neighbours and their distance in Å.
Sites, in units of the cell vectors:
Zr (0.0000, 0.0000, 0.0000)  2 Br 2.53, 4 Te 2.81
Te (0.0000, 0.5000, 0.0000)  2 Zr 2.81
Te (0.5000, 0.0000, 0.0000)  2 Zr 2.81
Ir (0.5000, 0.5000, 0.5000)  8 Te 3.78, 4 Br 3.98
Br (0.0000, 0.0000, 0.5000)  2 Zr 2.53

## Properties
uncorrected formation energy	687	meV/atom
calculated volume	32.04	A^3/atom


# 2
Density functional theory data (PBE) for an optimized crystal structure of Cd2AgCl.

Cell lengths 3.4734, 3.4734, 25.4117 Å; angles 90.00, 90.00, 120.00 degrees
Last column: nearest neighbours and their distance in Å.
Sites, in units of the cell vectors:
Cd (0.0000, 0.0000, 0.2492)  3 Ag 2.90, 3 Cl 2.93
Cd (0.0000, 0.0000, 0.7508)  3 Ag 2.90, 3 Cl 2.93
Cd (0.3333, 0.6667, 0.4175)  3 Ag 2.90, 3 Cl 2.93
Cd (0.3333, 0.6667, 0.9159)  3 Ag 2.90, 3 Cl 2.93
Cd (0.6667, 0.3333, 0.0841)  3 Ag 2.90, 3 Cl 2.93
Cd (0.6667, 0.3333, 0.5825)  3 Ag 2.90, 3 Cl 2.93
Ag (0.0000, 0.0000, 0.5000)  6 Cd 2.90
Ag (0.3333, 0.6667, 0.1667)  6 Cd 2.90
Ag (0.6667, 0.3333, 0.8333)  6 Cd 2.90
Cl (0.0000, 0.0000, 0.0000)  6 Cd 2.93
Cl (0.3333, 0.6667, 0.6667)  6 Cd 2.93
Cl (0.6667, 0.3333, 0.3333)  6 Cd 2.93

## Properties
uncorrected formation energy	-263	meV/atom
ΔE to the lowest computed polymorph	0	meV per atom
calculated volume	22.13	A^3/atom


# 3
Density functional theory data (PBE) for an optimized crystal structure of In2AgSnI5.

Cell lengths 10.4745, 10.4745, 15.0688 Å; angles 90.00, 90.00, 154.38 degrees
Last column: nearest neighbours and their distance in Å.
Sites, in units of the cell vectors:
In (0.0945, 0.9056, 0.5000)  5 I 3.45-3.54
In (0.1273, 0.8727, 0.1506)  7 I 3.47-3.69
In (0.8727, 0.1273, 0.6506)  7 I 3.47-3.69
In (0.9056, 0.0945, 0.0000)  5 I 3.45-3.54
Ag (0.4409, 0.5591, 0.2664)  4 I 2.81-2.96
Ag (0.5591, 0.4409, 0.7664)  4 I 2.81-2.96
Sn (0.2089, 0.7911, 0.8575)  6 I 3.12-3.33
Sn (0.7911, 0.2089, 0.3575)  6 I 3.12-3.33
I (0.0465, 0.9535, 0.8742)  2 Ag 2.85
I (0.2837, 0.7163, 0.5040)  2 Sn 3.21
I (0.3023, 0.6977, 0.2090)  1 Ag 2.96, 2 Sn 3.23
I (0.3607, 0.6393, 0.8332)  1 Sn 3.12
I (0.4937, 0.5063, 0.6024)  1 Ag 2.81
I (0.5063, 0.4937, 0.1024)  1 Ag 2.81
I (0.6393, 0.3607, 0.3332)  1 Sn 3.12
I (0.6977, 0.3023, 0.7090)  1 Ag 2.96, 2 Sn 3.23
I (0.7163, 0.2837, 0.0040)  2 Sn 3.21
I (0.9535, 0.0465, 0.3742)  2 Ag 2.85

## Properties
uncorrected formation energy	-424	meV/atom
calculated volume	39.72	A^3/atom


# 4
Density functional theory data (PBE) for an optimized crystal structure of NbAsW3.

Cell lengths 4.7995, 4.7995, 4.7995 Å; angles 90.00, 90.00, 90.00 degrees
Last column: nearest neighbours and their distance in Å.
Sites, in units of the cell vectors:
Nb (0.0000, 0.0000, 0.0000)  6 W 2.40
As (0.5000, 0.5000, 0.5000)  12 W 3.39
W (0.0000, 0.0000, 0.5000)  2 Nb 2.40
W (0.0000, 0.5000, 0.0000)  2 Nb 2.40
W (0.5000, 0.0000, 0.0000)  2 Nb 2.40

## Properties
ΔE to the lowest computed polymorph	968	meV per atom
calculated volume	22.11	A^3/atom


# 5
Density functional theory data (PBE) for an optimized crystal structure of AlGa2Ag6.

Cell lengths 5.0625, 5.1708, 6.2538 Å; angles 84.49, 75.96, 80.46 degrees
Last column: nearest neighbours and their distance in Å.
Sites, in units of the cell vectors:
Al (0.0000, 0.0000, 0.0000)  8 Ag 2.76-3.00, 4 Ga 2.86-3.03
Ga (0.2044, 0.4343, 0.1224)  8 Ag 2.79-3.03, 1 Ga 2.82, 2 Al 2.86-3.03
Ga (0.7956, 0.5657, 0.8776)  8 Ag 2.79-3.03, 1 Ga 2.82, 2 Al 2.86-3.03
Ag (0.1152, 0.2253, 0.5616)  2 Ga 2.79-2.81, 1 Al 2.84, 9 Ag 2.90-3.01
Ag (0.3370, 0.6829, 0.6827)  1 Al 2.76, 3 Ga 2.83-2.89, 8 Ag 2.91-3.08
Ag (0.4372, 0.8672, 0.2127)  2 Al 2.81-3.00, 3 Ga 2.82-3.03, 7 Ag 2.85-2.98
Ag (0.5628, 0.1328, 0.7873)  2 Al 2.81-3.00, 3 Ga 2.82-3.03, 7 Ag 2.85-2.98
Ag (0.6630, 0.3171, 0.3173)  1 Al 2.76, 3 Ga 2.83-2.89, 8 Ag 2.91-3.08
Ag (0.8848, 0.7747, 0.4384)  2 Ga 2.79-2.81, 1 Al 2.84, 9 Ag 2.90-3.01

## Properties
ΔE to the lowest computed polymorph	0	meV per atom
calculated volume	17.37	A^3/atom


# 6
Density functional theory data (PBE) for an optimized crystal structure of Cs4Tl5Ga.

Cell lengths 9.1111, 9.1111, 9.1111 Å; angles 98.87, 98.87, 133.76 degrees
Last column: nearest neighbours and their distance in Å.
Sites, in units of the cell vectors:
Cs (0.0973, 0.6988, 0.7961)  5 Tl 3.83-4.07, 1 Ga 4.06
Cs (0.3012, 0.0973, 0.3985)  5 Tl 3.83-4.07, 1 Ga 4.06
Cs (0.6988, 0.9027, 0.6015)  5 Tl 3.83-4.07, 1 Ga 4.06
Cs (0.9027, 0.3012, 0.2039)  5 Tl 3.83-4.07, 1 Ga 4.06
Tl (0.3117, 0.4335, 0.7593)  1 Ga 3.00, 3 Tl 3.20-3.26
Tl (0.4335, 0.6742, 0.1218)  1 Ga 3.00, 3 Tl 3.20-3.26
Tl (0.5524, 0.3117, 0.8782)  1 Ga 3.00, 3 Tl 3.20-3.26
Tl (0.6742, 0.5524, 0.2407)  1 Ga 3.00, 3 Tl 3.20-3.26
Tl (0.8203, 0.8203, 0.0000)  1 Ga 2.84
Ga (0.2176, 0.2176, 0.0000)  5 Tl 2.84-3.00

## Properties
energy	-19.01	eV/f.u.
calculated volume	50.24	A^3/atom


# 7
Density functional theory data (PBE) for an optimized crystal structure of Zr2MnW.

Cell lengths 5.8581, 9.0291, 2.9179 Å; angles 90.00, 110.49, 90.00 degrees
Last column: nearest neighbours and their distance in Å.
Sites, in units of the cell vectors:
Zr (0.2500, 0.2500, 0.0000)  2 Mn 2.81, 2 W 2.81, 4 Zr 2.92-2.93
Zr (0.2500, 0.7500, 0.0000)  2 Mn 2.81, 2 W 2.81, 4 Zr 2.92-2.93
Zr (0.7500, 0.2500, 0.0000)  2 Mn 2.81, 2 W 2.81, 4 Zr 2.92-2.93
Zr (0.7500, 0.7500, 0.0000)  2 Mn 2.81, 2 W 2.81, 4 Zr 2.92-2.93
Mn (0.0000, 0.0000, 0.5000)  4 Zr 2.81, 2 Mn 2.92, 2 W 2.93
Mn (0.5000, 0.5000, 0.5000)  4 Zr 2.81, 2 Mn 2.92, 2 W 2.93
W (0.0000, 0.5000, 0.5000)  4 Zr 2.81, 2 W 2.92, 2 Mn 2.93
W (0.5000, 0.0000, 0.5000)  4 Zr 2.81, 2 W 2.92, 2 Mn 2.93

## Properties
ΔE to the lowest computed polymorph	233	meV per atom
calculated volume	18.07	A^3/atom


# 8
Density functional theory data (PBE) for an optimized crystal structure of Tl2ReOs.

Cell lengths 7.7292, 7.7292, 5.5121 Å; angles 90.00, 90.00, 90.00 degrees
Last column: nearest neighbours and their distance in Å.
Sites, in units of the cell vectors:
Tl (0.2418, 0.2500, 0.1250)  2 Tl 2.76, 2 Os 2.77, 2 Re 2.86
Tl (0.2500, 0.7418, 0.3750)  2 Tl 2.76, 2 Os 2.77, 2 Re 2.86
Tl (0.2500, 0.7582, 0.8750)  2 Tl 2.76, 2 Os 2.77, 2 Re 2.86
Tl (0.2582, 0.2500, 0.6250)  2 Tl 2.76, 2 Os 2.77, 2 Re 2.86
Tl (0.7418, 0.7500, 0.6250)  2 Tl 2.76, 2 Os 2.77, 2 Re 2.86
Tl (0.7500, 0.2418, 0.8750)  2 Tl 2.76, 2 Os 2.77, 2 Re 2.86
Tl (0.7500, 0.2582, 0.3750)  2 Tl 2.76, 2 Os 2.77, 2 Re 2.86
Tl (0.7582, 0.7500, 0.1250)  2 Tl 2.76, 2 Os 2.77, 2 Re 2.86
Re (0.0000, 0.0000, 0.5000)  2 Os 2.76, 4 Tl 2.86
Re (0.0000, 0.5000, 0.7500)  2 Os 2.76, 4 Tl 2.86
Re (0.5000, 0.0000, 0.2500)  2 Os 2.76, 4 Tl 2.86
Re (0.5000, 0.5000, 0.0000)  2 Os 2.76, 4 Tl 2.86
Os (0.0000, 0.0000, 0.0000)  2 Re 2.76, 4 Tl 2.77
Os (0.0000, 0.5000, 0.2500)  2 Re 2.76, 4 Tl 2.77
Os (0.5000, 0.0000, 0.7500)  2 Re 2.76, 4 Tl 2.77
Os (0.5000, 0.5000, 0.5000)  2 Re 2.76, 4 Tl 2.77

## Properties
ΔE to the lowest computed polymorph	1125	meV per atom
calculated volume	20.58	A^3/atom


# 9
Density functional theory data (PBE) for an optimized crystal structure of Ho2ZnBr.

Cell lengths 3.6775, 3.6775, 25.5217 Å; angles 90.00, 90.00, 120.00 degrees
Last column: nearest neighbours and their distance in Å.
Sites, in units of the cell vectors:
Ho (0.0000, 0.0000, 0.0000)  3 Zn 2.92, 3 Br 3.07
Ho (0.0000, 0.0000, 0.1755)  3 Zn 2.93, 3 Br 3.10
Ho (0.3333, 0.6667, 0.6667)  3 Zn 2.92, 3 Br 3.07
Ho (0.3333, 0.6667, 0.8422)  3 Zn 2.93, 3 Br 3.10
Ho (0.6667, 0.3333, 0.3333)  3 Zn 2.92, 3 Br 3.07
Ho (0.6667, 0.3333, 0.5088)  3 Zn 2.93, 3 Br 3.10
Zn (0.0000, 0.0000, 0.5880)  6 Ho 2.92-2.93
Zn (0.3333, 0.6667, 0.2547)  6 Ho 2.92-2.93
Zn (0.6667, 0.3333, 0.9214)  6 Ho 2.92-2.93
Br (0.0000, 0.0000, 0.4203)  6 Ho 3.07-3.10
Br (0.3333, 0.6667, 0.0870)  6 Ho 3.07-3.10
Br (0.6667, 0.3333, 0.7537)  6 Ho 3.07-3.10

## Properties
uncorrected formation energy	-622	meV/atom
calculated volume	24.91	A^3/atom


# 10
Density functional theory data (PBE) for an optimized crystal structure of Ce2RuPb2.

Cell lengths 9.1333, 9.1333, 6.0204 Å; angles 90.00, 90.00, 146.69 degrees
Last column: nearest neighbours and their distance in Å.
Sites, in units of the cell vectors:
Ce (0.1036, 0.8964, 0.5000)  1 Ru 2.30
Ce (0.3338, 0.6662, 0.4389)  2 Ru 2.97, 5 Pb 3.12-3.28
Ce (0.6662, 0.3338, 0.9389)  2 Ru 2.97, 5 Pb 3.12-3.28
Ce (0.8964, 0.1036, 0.0000)  1 Ru 2.30
Ru (0.0893, 0.9107, 0.8792)  1 Ce 2.30
Ru (0.9107, 0.0893, 0.3792)  1 Ce 2.30
Pb (0.2636, 0.7363, 0.9448)  1 Ru 3.08, 4 Ce 3.12-3.28
Pb (0.4870, 0.5130, 0.7457)  2 Pb 3.04, 2 Ce 3.26-3.35, 2 Ru 3.27
Pb (0.5130, 0.4870, 0.2457)  2 Pb 3.04, 2 Ce 3.26-3.35, 2 Ru 3.27
Pb (0.7363, 0.2636, 0.4448)  1 Ru 3.08, 4 Ce 3.12-3.28

## Properties
energy	-29.74	eV/f.u.
calculated volume	27.58	A^3/atom


# 11
Density functional theory data (PBE) for an optimized crystal structure of Nd6Te5Br.

Cell lengths 7.7597, 7.7597, 7.7474 Å; angles 99.31, 99.31, 119.55 degrees
Last column: nearest neighbours and their distance in Å.
Sites, in units of the cell vectors:
Nd (0.0548, 0.4054, 0.7324)  5 Te 3.12-3.20, 1 Br 3.39
Nd (0.2209, 0.2209, 0.2393)  5 Te 3.05-3.19, 1 Br 3.28
Nd (0.4054, 0.0548, 0.7324)  5 Te 3.12-3.20, 1 Br 3.39
Nd (0.5946, 0.9452, 0.2676)  5 Te 3.12-3.20, 1 Br 3.39
Nd (0.7791, 0.7791, 0.7607)  5 Te 3.05-3.19, 1 Br 3.28
Nd (0.9452, 0.5946, 0.2676)  5 Te 3.12-3.20, 1 Br 3.39
Te (0.0000, 0.0000, 0.5000)  6 Nd 3.05-3.15
Te (0.1752, 0.8248, 0.0000)  6 Nd 3.14-3.15
Te (0.3477, 0.6523, 0.5000)  6 Nd 3.12-3.20
Te (0.6523, 0.3477, 0.5000)  6 Nd 3.12-3.20
Te (0.8248, 0.1752, 0.0000)  6 Nd 3.14-3.15
Br (0.5000, 0.5000, 0.0000)  6 Nd 3.28-3.39

## Properties
uncorrected formation energy	-1359	meV/atom
calculated volume	32.03	A^3/atom


# 12
Density functional theory data (PBE) for an optimized crystal structure of ReTe2Mo.

Cell lengths 3.1586, 3.1586, 8.9258 Å; angles 90.00, 90.00, 90.00 degrees
Last column: nearest neighbours and their distance in Å.
Sites, in units of the cell vectors:
Re (0.0000, 0.0000, 0.0000)  4 Te 2.76, 4 Mo 2.86
Te (0.0000, 0.0000, 0.6095)  4 Mo 2.80
Te (0.5000, 0.5000, 0.1816)  4 Re 2.76
Mo (0.5000, 0.5000, 0.7994)  4 Te 2.80, 4 Re 2.86

## Properties
uncorrected formation energy	209	meV/atom
ΔE to the lowest computed polymorph	4	meV per atom
calculated volume	22.26	A^3/atom


| no. | spin magnetization (μB/cell) | mass density (g/cm³) |
| --- | --- | --- |
| 1 | 2.3 | 6.41 |
| 2 | 0.0 | 6.91 |
| 3 | 0.0 | 5.07 |
| 4 | 0.0 | 10.80 |
| 5 | 0.0 | 8.64 |
| 6 | 0.0 | 5.37 |
| 7 | 3.3 | 9.68 |
| 8 | 4.3 | 15.84 |
| 9 | 0.0 | 7.92 |
| 10 | 1.0 | 9.58 |
| 11 | 0.0 | 6.84 |
| 12 | 0.0 | 10.02 |